VASP calculation (PBE) on a geometry-optimized ErSc4Pb5 structure.

Calculated values
ρ in g/cm3: 8.30
ΔH_f (0 K) in eV/atom: -0.20
Total magnetization in μB per formula unit: 0.00

Unit cell a=9.557 b=9.557 c=6.058 alpha=90.00 beta=90.00 gamma=90.00
Space group I4 (No. 79)
Unique sites:
Er1 0.000 0.000 0.000
Sc1 0.108 0.291 0.504
Pb1 0.000 0.000 0.500
Pb2 0.095 0.314 0.004


VASP calculation (PBE) on a geometry-optimized CaMnCd structure.

Calculated values
ρ in g/cm3: 4.60
ΔH_f (0 K) in eV/atom: 0.40
Total magnetization in μB per formula unit: 3.83

Unit cell a=3.4458 b=3.4458 c=7.2779 alpha=90.00 beta=90.00 gamma=120.00
Space group P3m1 (No. 156)
Unique sites:
Ca1 0.0000 0.0000 0.0000
Mn1 0.3333 0.6667 0.6508
Cd1 0.6667 0.3333 0.3634


VASP calculation (PBE) on a geometry-optimized Mg6ZnAg3 structure.

Calculated values
ρ in g/cm3: 4.65
ΔH_f (0 K) in eV/atom: -0.16
Total magnetization in μB per formula unit: 0.00

Unit cell a=8.075 b=4.858 c=10.370 alpha=90.00 beta=110.14 gamma=90.00
Space group P2_1/m (No. 11)
Unique sites:
Mg1 0.034 0.250 0.418
Mg2 0.156 0.750 0.175
Mg3 0.248 0.250 0.006
Mg4 0.345 0.750 0.796
Mg5 0.349 0.250 0.325
Mg6 0.421 0.250 0.627
Zn1 0.457 0.750 0.086
Ag1 0.040 0.750 0.878
Ag2 0.125 0.250 0.717
Ag3 0.273 0.750 0.477


VASP calculation (PBE) on a geometry-optimized Ac5La4Mg structure.

Calculated values
ρ in g/cm3: 7.13
ΔH_f (0 K) in eV/atom: 0.00
Total magnetization in μB per formula unit: 0.00

Unit cell a=3.926 b=3.926 c=25.925 alpha=90.00 beta=90.00 gamma=90.00
Space group P4/mmm (No. 123)
Unique sites:
Ac1 0.000 0.000 0.000
Ac2 0.000 0.000 0.207
Ac3 0.000 0.000 0.414
La1 0.500 0.500 0.104
La2 0.500 0.500 0.311
Mg1 0.500 0.500 0.500


VASP calculation (PBE) on a geometry-optimized Mg2Ga9Sn structure.

Calculated values
ρ in g/cm3: 5.67
ΔH_f (0 K) in eV/atom: -0.03
Total magnetization in μB per formula unit: 0.00

Unit cell a=4.296 b=4.296 c=12.602 alpha=90.00 beta=90.00 gamma=90.00
Space group P4/mmm (No. 123)
Unique sites:
Mg1 0.000 0.000 0.160
Ga1 0.000 0.500 0.000
Ga2 0.000 0.500 0.323
Ga3 0.500 0.500 0.156
Ga4 0.500 0.500 0.500
Sn1 0.000 0.000 0.500


VASP calculation (PBE) on a geometry-optimized Ac2Zn3Ni2 structure.

Calculated values
ρ in g/cm3: 8.09
ΔH_f (0 K) in eV/atom: -0.29
Total magnetization in μB per formula unit: 0.00
E above lowest polymorph in meV/atom: 20

Unit cell a=10.958 b=4.280 c=6.944 alpha=90.00 beta=104.76 gamma=90.00
Space group C2/m (No. 12)
Unique sites:
Ac1 0.170 0.000 0.200
Zn1 0.000 0.500 0.500
Zn2 0.096 0.000 0.689
Ni1 0.052 0.500 0.866


VASP calculation (PBE) on a geometry-optimized KRb2NbI6 structure.

Calculated values
ρ in g/cm3: 3.70
Raw formation energy in meV/atom: -985
Total magnetization in μB per formula unit: 2.00

Unit cell a=12.410 b=12.410 c=12.410 alpha=90.00 beta=90.00 gamma=90.00
Space group Fm-3m (No. 225)
Unique sites:
K1 0.000 0.000 0.000
Rb1 0.250 0.250 0.250
Nb1 0.000 0.000 0.500
I1 0.000 0.000 0.270


VASP calculation (PBE) on a geometry-optimized AsIr2Au structure.

Calculated values
ρ in g/cm3: 17.14
ΔH_f (0 K) in eV/atom: 0.44
Total magnetization in μB per formula unit: 0.00

Unit cell a=4.164 b=4.164 c=3.668 alpha=90.00 beta=90.00 gamma=90.00
Space group P4/mmm (No. 123)
Unique sites:
As1 0.000 0.000 0.000
Ir1 0.000 0.500 0.500
Au1 0.500 0.500 0.000


The total DFT energy (no corrections) results, record by record, are as follows: -5.044; -3.626; -2.095; -4.184; -2.904; -3.659; -3.225; -5.970 eV per atom.